[1]
SCAN ScBiO3, single point on PBEsol structure; ΔE_f (raw) = -2.43 eV per atom; total magnetization = 0.0000 μB per atom
1.0
2.838 1.639 4.899
-2.838 1.639 4.899
0.000 -3.277 4.899
Sc Bi O
2 2 6
direct
0.147 0.147 0.147
0.853 0.853 0.853
0.363 0.363 0.363
0.637 0.637 0.637
0.010 0.800 0.447
0.200 0.553 0.990
0.447 0.010 0.800
0.553 0.990 0.200
0.800 0.447 0.010
0.990 0.200 0.553

=====

[2]
SCAN ScBiO3, single point on PBEsol structure; ΔE_f (raw) = -2.49 eV per atom; total magnetization = 0.0000 μB per atom
1.0
4.902 -2.882 0.000
4.902 2.882 0.000
-3.160 0.000 9.509
Sc Bi O
4 4 12
direct
0.010 0.497 0.749
0.240 0.760 0.500
0.497 0.010 0.249
0.760 0.240 0.000
0.189 0.594 0.124
0.321 0.939 0.868
0.594 0.189 0.624
0.939 0.321 0.368
0.077 0.098 0.165
0.098 0.077 0.665
0.147 0.515 0.583
0.311 0.442 0.329
0.356 0.988 0.422
0.442 0.311 0.829
0.515 0.147 0.083
0.573 0.620 0.134
0.620 0.573 0.634
0.854 0.979 0.380
0.979 0.854 0.880
0.988 0.356 0.922

=====

[3]
SCAN Sr2ScBiO6, single point on PBEsol structure; ΔE_f (raw) = -2.59 eV per atom; total magnetization = 0.0000 μB per atom
1.0
0.000 4.126 4.126
4.126 0.000 4.126
4.126 4.126 0.000
Sr Sc Bi O
2 1 1 6
direct
0.250 0.250 0.250
0.750 0.750 0.750
0.000 0.000 0.000
0.500 0.500 0.500
0.248 0.248 0.752
0.248 0.752 0.248
0.248 0.752 0.752
0.752 0.248 0.248
0.752 0.248 0.752
0.752 0.752 0.248

=====

[4]
SCAN Bi2SeO5, single point on PBEsol structure; ΔE_f (raw) = -1.13 eV per atom; total magnetization = 0.0000 μB per atom
1.0
11.274 0.000 0.000
0.000 8.154 2.744
0.000 -8.154 2.744
Bi Se O
8 4 20
direct
0.113 0.085 0.915
0.113 0.415 0.585
0.115 0.776 0.276
0.376 0.259 0.759
0.624 0.759 0.259
0.885 0.276 0.776
0.887 0.585 0.415
0.887 0.915 0.085
0.362 0.579 0.406
0.362 0.906 0.079
0.638 0.079 0.906
0.638 0.406 0.579
0.000 0.273 0.273
0.000 0.773 0.773
0.005 0.077 0.403
0.005 0.903 0.577
0.200 0.152 0.652
0.238 0.082 0.182
0.238 0.682 0.582
0.294 0.454 0.140
0.294 0.640 0.954
0.426 0.063 0.360
0.426 0.860 0.563
0.574 0.360 0.063
0.574 0.563 0.860
0.706 0.140 0.454
0.706 0.954 0.640
0.762 0.182 0.082
0.762 0.582 0.682
0.800 0.652 0.152
0.995 0.403 0.077
0.995 0.577 0.903

=====

[5]
SCAN TcBiSe2O, single point on PBEsol structure; ΔE_f (raw) = 1.57 eV per atom; total magnetization = 1.3463 μB per atom
1.0
5.426 0.000 0.000
0.000 5.426 0.000
0.000 0.000 5.367
Tc Bi Se O
1 1 2 1
direct
0.000 0.000 0.000
0.000 0.000 0.500
0.000 0.500 0.500
0.500 0.000 0.500
0.500 0.500 0.000

=====

[6]
SCAN SiBi3O7, single point on PBEsol structure; ΔE_f (raw) = -1.55 eV per atom; total magnetization = 0.0001 μB per atom
1.0
8.092 0.000 0.000
-4.046 7.008 0.000
0.000 0.000 5.255
Si Bi O
2 6 14
direct
0.333 0.667 0.000
0.667 0.333 0.500
0.105 0.346 0.464
0.241 0.895 0.464
0.346 0.241 0.964
0.654 0.759 0.464
0.759 0.105 0.964
0.895 0.654 0.964
0.086 0.248 0.855
0.119 0.586 0.128
0.162 0.914 0.855
0.248 0.162 0.355
0.333 0.667 0.687
0.414 0.532 0.128
0.468 0.881 0.128
0.532 0.119 0.628
0.586 0.468 0.628
0.667 0.333 0.187
0.752 0.838 0.855
0.838 0.086 0.355
0.881 0.414 0.628
0.914 0.752 0.355